No. 1
Compound: RbCePuBr6
Source: Alexandria via LeMat-Bulk
Functional: PBE-GGA
Structure: relaxed

Computed properties:
The value obtained for the total magnetic moment is 7.000 μB/f.u. Its crystal system is trigonal. As for the calculated total energy: -93.346 eV/cell.

a = 7.6857 Å, b = 7.6857 Å, c = 15.1303 Å
α = 90.00°, β = 90.00°, γ = 120.00°
Space group P-31c (No. 163)
Symmetry-distinct sites (fractional):
Rb (0.0000, 0.0000, 0.0000)
Ce (0.3333, 0.6667, 0.2500)
Pu (0.3333, 0.6667, 0.7500)
Br (0.0008, 0.3705, 0.1377)


No. 2
Compound: Sr2Hg2I
Source: Alexandria via LeMat-Bulk
Functional: PBE-GGA
Structure: relaxed

Computed properties:
The value obtained for the total magnetic moment is 0.000 μB/f.u. The value obtained for the excess energy over the best structure of this formula in the dataset is 40 meV per atom. Its crystal system is tetragonal.

a = 9.0360 Å, b = 9.0360 Å, c = 4.2822 Å
α = 90.00°, β = 90.00°, γ = 90.00°
Space group P4/mbm (No. 127)
Symmetry-distinct sites (fractional):
Sr (0.1735, 0.3265, 0.0000)
Hg (0.1207, 0.6207, 0.5000)
I (0.0000, 0.0000, 0.5000)


No. 3
Compound: LiTaBi2O6
Source: Alexandria via LeMat-Bulk
Functional: PBE-GGA
Structure: relaxed

Computed properties:
The value obtained for the total magnetic moment is 0.000 μB/f.u. Its crystal system is monoclinic. As for the calculated total energy: -141.130 eV/cell.

a = 5.5770 Å, b = 5.9638 Å, c = 9.5838 Å
α = 90.00°, β = 124.46°, γ = 90.00°
Space group P2_1/c (No. 14)
Symmetry-distinct sites (fractional):
Li (0.0000, 0.0000, 0.0000)
Ta (0.5000, 0.0000, 0.5000)
Bi (0.2423, 0.0537, 0.7507)
O (0.1458, 0.1685, 0.4481)
O (0.2839, 0.7071, 0.4423)
O (0.3753, 0.0414, 0.2584)


No. 4
Compound: Be2InIr
Source: Alexandria via LeMat-Bulk
Functional: PBE-GGA
Structure: relaxed

Computed properties:
The value obtained for the total magnetic moment is 0.000 μB/f.u. Its crystal system is monoclinic. As for the calculated total energy: -19.668 eV/cell.

a = 2.9487 Å, b = 2.9394 Å, c = 6.3839 Å
α = 90.00°, β = 90.08°, γ = 90.00°
Space group P2/m (No. 10)
Symmetry-distinct sites (fractional):
Be (0.0011, 0.0000, 0.1779)
In (0.5000, 0.5000, 0.5000)
Ir (0.5000, 0.5000, 0.0000)